*P*
## NdYS2 (PBE)

Data for NdYS2 after structural relaxation.

The spin magnetization comes out at 0.0 Bohr magnetons per cell. Its space group is P4/mmm, No. 123. The mass density comes out at 5.5 g/cm3.

The structure in extended XYZ format:
```
4
Lattice="3.9943 0.0000 0.0000 0.0000 3.9943 0.0000 0.0000 0.0000 5.6499" Properties=species:S:1:pos:R:3 pbc="T T T"
Nd 0.0000 0.0000 0.0000
Y 1.9972 1.9972 2.8250
S 0.0000 0.0000 2.8250
S 1.9972 1.9972 0.0000
```

*Q*
## NdYS2 (PBE)

Data for NdYS2 after structural relaxation.

The spin magnetization comes out at 0.0 Bohr magnetons per cell. Its space group is C2/m, No. 12. The mass density comes out at 5.5 g/cm3.

The structure in extended XYZ format:
```
4
Lattice="3.4348 -1.9887 0.0000 3.4348 1.9887 0.0000 -2.2998 0.0000 6.5705" Properties=species:S:1:pos:R:3 pbc="T T T"
Nd 0.0000 0.0000 0.0000
Y 2.2849 0.0000 3.2853
S -0.0067 0.0000 4.8313
S 4.5764 0.0000 1.7392
```

Energy relative to the most stable one, in kJ/mol of atoms: *P* 2.3; *Q* 0.0